Record 1
{
  "formula": "LiHf3Nb4N8",
  "functional": "PBE",
  "state": "optimized geometry",
  "e_tot_ev_per_atom": -9.983,
  "formation_energy_uncorrected_mev_per_atom": -1317,
  "n_ef_per_ev_cell": 7.0,
  "magnetic_moment_mub_per_fu": 0.00,
  "lattice": [[-5.452, 3.056, -0.372], [-3.048, -5.518, -0.647], [3.761, 0.896, 4.924]],
  "species": ["N", "N", "N", "N", "N", "N", "N", "N", "Nb", "Nb", "Nb", "Nb", "Hf", "Hf", "Hf", "Li"],
  "frac_coords": [[0.749, 0.744, 0.997], [0.253, 0.258, 0.505], [0.248, 0.744, 0.997], [0.747, 0.742, 0.495], [0.248, 0.744, 0.495], [0.251, 0.256, 0.003], [0.752, 0.256, 0.003], [0.752, 0.256, 0.505], [0.000, 0.000, 0.000], [0.000, 0.000, 0.500], [0.500, 0.000, 0.000], [0.500, 0.000, 0.500], [0.500, 0.500, 0.500], [0.500, 0.500, 0.000], [0.000, 0.500, 0.500], [0.000, 0.500, 0.000]]
}

***

Record 2
{
  "formula": "Zr3NbC",
  "functional": "PBE",
  "state": "optimized geometry",
  "e_tot_ev_per_atom": -6.878,
  "e_above_lowest_polymorph_ev_per_atom": 2.278,
  "n_ef_per_ev_cell": 10.3,
  "magnetic_moment_mub_per_fu": 0.01,
  "ef_mev_per_atom": 2110,
  "lattice": [[-2.551, 3.573, -2.478], [-1.848, -3.492, -3.132], [-3.936, -0.676, 3.077]],
  "species": ["Zr", "Zr", "Zr", "C", "Nb"],
  "frac_coords": [[0.500, 0.000, 0.000], [0.000, 0.000, 0.500], [0.000, 0.500, 0.000], [0.500, 0.500, 0.500], [0.000, 0.000, 0.000]]
}

***

Record 3
{
  "formula": "AcHoEr4",
  "functional": "PBE",
  "state": "optimized geometry",
  "e_tot_ev_per_atom": -4.408,
  "e_above_lowest_polymorph_ev_per_atom": 0.018,
  "n_ef_per_ev_cell": 18.2,
  "magnetic_moment_mub_per_fu": 0.00,
  "ef_mev_per_atom": 81,
  "lattice": [[-2.190, -4.502, -8.467], [2.679, -4.678, 1.795], [-5.955, -2.338, 2.783]],
  "species": ["Er", "Er", "Er", "Er", "Er", "Er", "Er", "Er", "Ac", "Ac", "Ho", "Ho"],
  "frac_coords": [[0.833, 0.501, 0.258], [0.667, 0.001, 0.258], [0.667, 0.999, 0.742], [0.833, 0.499, 0.742], [0.333, 0.999, 0.742], [0.167, 0.501, 0.258], [0.167, 0.499, 0.742], [0.333, 0.001, 0.258], [0.500, 0.500, 0.000], [0.000, 0.000, 0.000], [0.000, 0.000, 0.500], [0.500, 0.500, 0.500]]
}

***

Record 4
{
  "formula": "Nd5SmTl4",
  "functional": "PBE",
  "state": "optimized geometry",
  "e_tot_ev_per_atom": -3.868,
  "e_above_lowest_polymorph_ev_per_atom": 0.230,
  "n_ef_per_ev_cell": 19.2,
  "magnetic_moment_mub_per_fu": 0.00,
  "ef_mev_per_atom": -65,
  "lattice": [[-5.748, 2.957, -6.078], [5.165, -2.390, -6.048], [-4.156, -8.483, -0.197]],
  "species": ["Tl", "Tl", "Tl", "Tl", "Tl", "Tl", "Tl", "Tl", "Nd", "Nd", "Nd", "Nd", "Nd", "Nd", "Nd", "Nd", "Nd", "Nd", "Sm", "Sm"],
  "frac_coords": [[0.003, 0.500, 0.337], [0.563, 0.330, 0.000], [0.437, 0.170, 0.500], [0.997, 0.000, 0.837], [0.563, 0.670, 0.000], [0.003, 0.500, 0.663], [0.997, 0.000, 0.163], [0.437, 0.830, 0.500], [0.729, 0.756, 0.305], [0.271, 0.256, 0.805], [0.920, 0.500, 0.000], [0.729, 0.244, 0.695], [0.080, 0.000, 0.500], [0.729, 0.244, 0.305], [0.271, 0.744, 0.195], [0.271, 0.744, 0.805], [0.729, 0.756, 0.695], [0.271, 0.256, 0.195], [0.677, 0.000, 0.000], [0.323, 0.500, 0.500]]
}